Record 1
DyCdGa | SCAN | PBEsol geometry

Computed properties:
Formation energy   -1.90 eV/f.u.
Calculated density   9.044 Mg/m³
Total DFT energy (no corrections)   -289.37 eV/cell

The structure in CIF format:
```
data_DyCdGa
_chemical_formula_sum 'Dy3 Cd3 Ga3'
_symmetry_space_group_name_H-M 'P -6 2 m'
_symmetry_Int_Tables_number 189
_symmetry_space_group_name_Hall 'P -6 -2'
_cell_length_a 7.1218
_cell_length_b 7.1218
_cell_length_c 4.3216
_cell_angle_alpha 90.00
_cell_angle_beta 90.00
_cell_angle_gamma 120.00
loop_
_atom_site_label
_atom_site_type_symbol
_atom_site_fract_x
_atom_site_fract_y
_atom_site_fract_z
Dy1 Dy 0.0000 0.5762 0.0000
Cd1 Cd 0.0000 0.2489 0.5000
Ga1 Ga 0.0000 0.0000 0.0000
Ga2 Ga 0.3333 0.6667 0.5000
```

=====

Record 2
DyCdHg2 | SCAN | PBEsol geometry

Computed properties:
Formation energy   -2.05 eV/f.u.
Calculated density   12.867 Mg/m³
Total DFT energy (no corrections)   -866.36 eV/cell

The structure in CIF format:
```
data_DyCdHg2
_chemical_formula_sum 'Dy4 Cd4 Hg8'
_symmetry_space_group_name_H-M 'F m -3 m'
_symmetry_Int_Tables_number 225
_symmetry_space_group_name_Hall '-F 4 2 3'
_cell_length_a 7.041
_cell_length_b 7.041
_cell_length_c 7.041
_cell_angle_alpha 90.00
_cell_angle_beta 90.00
_cell_angle_gamma 90.00
loop_
_atom_site_label
_atom_site_type_symbol
_atom_site_fract_x
_atom_site_fract_y
_atom_site_fract_z
Dy1 Dy 0.000 0.000 0.000
Cd1 Cd 0.000 0.000 0.500
Hg1 Hg 0.250 0.250 0.250
```

=====

Record 3
Dy2CdIn | SCAN | PBEsol geometry

Computed properties:
Formation energy   -2.16 eV/f.u.
Calculated density   9.185 Mg/m³
Total DFT energy (no corrections)   -646.23 eV/cell

The structure in CIF format:
```
data_Dy2CdIn
_chemical_formula_sum 'Dy8 Cd4 In4'
_symmetry_space_group_name_H-M 'F m -3 m'
_symmetry_Int_Tables_number 225
_symmetry_space_group_name_Hall '-F 4 2 3'
_cell_length_a 7.364
_cell_length_b 7.364
_cell_length_c 7.364
_cell_angle_alpha 90.00
_cell_angle_beta 90.00
_cell_angle_gamma 90.00
loop_
_atom_site_label
_atom_site_type_symbol
_atom_site_fract_x
_atom_site_fract_y
_atom_site_fract_z
Dy1 Dy 0.250 0.250 0.250
Cd1 Cd 0.000 0.000 0.000
In1 In 0.000 0.000 0.500
```